PBE Cs2InB2S6, relaxed; theoretical density = 3.15 g/cm3; formation energy without anion corrections = -0.6147 eV per atom; energy = -4.484 eV per atom
1.0
-4.824 2.600 -3.479
-1.050 -1.536 6.365
4.353 7.767 -0.232
S Cs B In
6 2 2 1
Cartesian
-0.853 1.197 5.228 S
-3.363 2.549 3.418 S
0.471 3.476 1.945 S
1.841 6.281 -0.764 S
-0.669 7.634 -2.574 S
-1.993 5.355 0.709 S
-3.121 2.252 -0.045 Cs
1.599 6.579 2.699 Cs
-2.589 6.207 2.174 B
1.068 2.624 0.480 B
-0.236 5.183 -1.855 In